Entry from Alexandria: crystalline ThRe4Tc8 at its relaxed geometry (GGA-PBE).

Output
Formation energy from the elements in eV/atom: 0.36

Lattice parameters (Å, degrees): 5.4842 5.4843 9.6419 73.48 73.48 60.00
Positions (direct):
Th  0.5000  0.5000  0.5000
Re  0.5000  0.0000  0.0000
Re  0.5000  0.5000  0.0000
Re  0.0000  0.5000  0.0000
Re  0.0000  0.0000  0.0000
Tc  0.7578  0.2450  0.2394
Tc  0.7550  0.2422  0.7606
Tc  0.2422  0.7550  0.7606
Tc  0.2422  0.2422  0.7606
Tc  0.2522  0.2523  0.2433
Tc  0.7478  0.7477  0.7567
Tc  0.7578  0.7578  0.2394
Tc  0.2450  0.7578  0.2394



Entry from Alexandria: crystalline Th2ReTc at its relaxed geometry (GGA-PBE).

Output
Formation energy from the elements in eV/atom: 0.84

Lattice parameters (Å, degrees): 3.3184 3.3184 9.9738 80.42 80.42 60.00
Positions (direct):
Re  0.0000  0.0000  0.0000
Tc  0.5000  0.5000  0.5000
Th  0.0894  0.0894  0.7317
Th  0.9106  0.9106  0.2683



Entry from Alexandria: crystalline ThReTc2 at its relaxed geometry (GGA-PBE).

Output
Formation energy from the elements in eV/atom: 0.18

Lattice parameters (Å, degrees): 4.4136 4.4136 5.6405 66.97 66.97 60.00
Positions (direct):
Re  0.0000  0.0000  0.0000
Tc  0.3036  0.3036  0.0892
Tc  0.6964  0.6964  0.9108
Th  0.5000  0.5000  0.5000



Entry from Alexandria: crystalline Th8ReTc2 at its relaxed geometry (GGA-PBE).

Output
Formation energy from the elements in eV/atom: 0.02

Lattice parameters (Å, degrees): 6.2715 7.7654 7.7654 116.42 101.32 101.32
Positions (direct):
Th  0.5878  0.3579  0.0977
Th  0.5878  0.0977  0.3579
Th  0.1658  0.3562  0.3562
Th  0.9834  0.1983  0.7854
Th  0.9834  0.7854  0.1983
Th  0.8100  0.6424  0.6424
Th  0.3671  0.9043  0.6540
Th  0.3671  0.6540  0.9043
Re  0.1789  0.0056  0.0056
Tc  0.4843  0.7097  0.3225
Tc  0.4843  0.3225  0.7097



Entry from Alexandria: crystalline Th2Re3Tc at its relaxed geometry (GGA-PBE).

Output
Formation energy from the elements in eV/atom: -0.09

Lattice parameters (Å, degrees): 5.2865 5.2865 5.8245 88.88 119.57 118.54
Positions (direct):
Th  0.7496  0.3744  0.1240
Th  0.2504  0.6256  0.8760
Re  0.5000  0.5000  0.5000
Re  0.0000  0.0000  0.5000
Re  0.5000  0.0000  0.5000
Tc  0.0000  0.0000  0.0000



Entry from Alexandria: crystalline Th3Re7Tc2 at its relaxed geometry (GGA-PBE).

Output
Formation energy from the elements in eV/atom: -0.01

Lattice parameters (Å, degrees): 5.3359 5.3359 9.7883 74.18 74.18 60.00
Positions (direct):
Th  0.0000  0.0000  0.0000
Th  0.8551  0.8551  0.4348
Th  0.1449  0.1449  0.5652
Re  0.5000  0.5000  0.5000
Re  0.9228  0.4161  0.2450
Re  0.4161  0.9228  0.2450
Re  0.4161  0.4161  0.2450
Re  0.0772  0.5839  0.7550
Re  0.5839  0.5839  0.7550
Re  0.5839  0.0772  0.7550
Tc  0.6637  0.6637  0.0090
Tc  0.3363  0.3363  0.9910



Entry from Alexandria: crystalline TmThReTc at its relaxed geometry (GGA-PBE).

Output
Formation energy from the elements in eV/atom: 0.07

Lattice parameters (Å, degrees): 4.8961 4.8961 4.8961 60.00 60.00 60.00
Positions (direct):
Re  0.5000  0.5000  0.5000
Tm  0.2500  0.2500  0.2500
Tc  0.0000  0.0000  0.0000
Th  0.7500  0.7500  0.7500



Entry from Alexandria: crystalline Th2UReTc6 at its relaxed geometry (GGA-PBE).

Output
Formation energy from the elements in eV/atom: 0.24

Lattice parameters (Å, degrees): 6.4074 6.8103 7.1748 54.40 70.80 100.93
Positions (direct):
Th  0.4072  0.9006  0.3418
Th  0.5928  0.0993  0.6582
U  0.0000  0.0000  0.0000
Re  0.5000  0.5000  0.0000
Tc  0.0984  0.6201  0.2312
Tc  0.9433  0.6914  0.8782
Tc  0.1847  0.2174  0.5178
Tc  0.9016  0.3799  0.7688
Tc  0.0567  0.3086  0.1218
Tc  0.8153  0.7826  0.4822



Entry from Alexandria: crystalline ThZrReTc at its relaxed geometry (GGA-PBE).

Output
Formation energy from the elements in eV/atom: -0.08

Lattice parameters (Å, degrees): 4.8481 4.8481 4.8481 60.00 60.00 60.00
Positions (direct):
Re  0.5000  0.5000  0.5000
Zr  0.7500  0.7500  0.7500
Tc  0.0000  0.0000  0.0000
Th  0.2500  0.2500  0.2500



Entry from Alexandria: crystalline Ti4Re2Tc at its relaxed geometry (GGA-PBE).

Output
Formation energy from the elements in eV/atom: 0.74
Relative energy among the computed polymorphs in meV/atom: 889

Lattice parameters (Å, degrees): 4.5703 4.5703 7.0936 71.21 71.21 90.00
Positions (direct):
Re  0.3826  0.3826  0.2348
Re  0.6174  0.6174  0.7652
Tc  0.0000  0.0000  0.0000
Ti  0.1968  0.1968  0.6065
Ti  0.8032  0.8032  0.3935
Ti  0.0000  0.5000  0.0000
Ti  0.5000  0.0000  0.0000



Entry from Alexandria: crystalline Ti4ReTc2 at its relaxed geometry (GGA-PBE).

Output
Formation energy from the elements in eV/atom: 0.69

Lattice parameters (Å, degrees): 4.6706 4.6706 7.0051 70.53 70.53 90.00
Positions (direct):
Re  0.0000  0.0000  0.0000
Tc  0.3804  0.3804  0.2393
Tc  0.6196  0.6196  0.7607
Ti  0.2008  0.2008  0.5984
Ti  0.7992  0.7992  0.4016
Ti  0.0000  0.5000  0.0000
Ti  0.5000  0.0000  0.0000



Entry from Alexandria: crystalline Ti2ReTc at its relaxed geometry (GGA-PBE).

Output
Formation energy from the elements in eV/atom: -0.44
Relative energy among the computed polymorphs in meV/atom: 0

Lattice parameters (Å, degrees): 3.1024 4.4049 4.4049 90.00 90.00 90.00
Positions (direct):
Re  0.5000  0.0000  0.0000
Tc  0.5000  0.5000  0.5000
Ti  0.0000  0.0000  0.5000
Ti  0.0000  0.5000  0.0000



Entry from Alexandria: crystalline Ti4Re2Tc at its relaxed geometry (GGA-PBE).

Output
Formation energy from the elements in eV/atom: -0.15
Relative energy among the computed polymorphs in meV/atom: 0

Lattice parameters (Å, degrees): 5.3389 5.3389 5.3389 110.35 109.03 109.03
Positions (direct):
Ti  0.5000  0.0000  0.0000
Ti  0.5000  0.5000  0.5000
Ti  0.0000  0.0000  0.5000
Ti  0.0000  0.5000  0.0000
Re  0.5000  0.5000  0.0000
Re  0.5000  0.0000  0.5000
Tc  0.0000  0.0000  0.0000



Entry from Alexandria: crystalline TiRe2Tc at its relaxed geometry (GGA-PBE).

Output
Formation energy from the elements in eV/atom: 0.57
Relative energy among the computed polymorphs in meV/atom: 737

Lattice parameters (Å, degrees): 7.1756 7.1756 5.6868 50.88 50.88 90.00
Positions (direct):
Re  0.6446  0.1250  0.2500
Re  0.1054  0.6250  0.2500
Re  0.3750  0.3554  0.7500
Re  0.8750  0.8946  0.7500
Tc  0.0000  0.0000  0.0000
Tc  0.7500  0.2500  0.5000
Ti  0.5000  0.5000  0.0000
Ti  0.2500  0.7500  0.5000



Entry from Alexandria: crystalline TiRe2Tc at its relaxed geometry (GGA-PBE).

Output
Formation energy from the elements in eV/atom: -0.02
Relative energy among the computed polymorphs in meV/atom: 147

Lattice parameters (Å, degrees): 2.6685 5.0709 5.2183 120.14 90.00 89.99
Positions (direct):
Ti  0.6219  0.1339  0.0000
Re  0.1283  0.1340  0.5001
Re  0.8574  0.6340  0.4999
Tc  0.3924  0.6340  0.9999



Entry from Alexandria: crystalline TiRe2Tc at its relaxed geometry (GGA-PBE).

Output
Formation energy from the elements in eV/atom: 0.03
Relative energy among the computed polymorphs in meV/atom: 195

Lattice parameters (Å, degrees): 4.1948 3.8051 3.8051 90.00 90.00 90.00
Positions (direct):
Re  0.0000  0.0000  0.5000
Re  0.0000  0.5000  0.0000
Tc  0.5000  0.5000  0.5000
Ti  0.5000  0.0000  0.0000



Entry from Alexandria: crystalline Ti2ReTc at its relaxed geometry (GGA-PBE).

Output
Formation energy from the elements in eV/atom: 0.32
Relative energy among the computed polymorphs in meV/atom: 761

Lattice parameters (Å, degrees): 6.9493 6.9493 5.5978 51.63 51.63 90.00
Positions (direct):
Re  0.0000  0.0000  0.0000
Re  0.7500  0.2500  0.5000
Tc  0.5000  0.5000  0.0000
Tc  0.2500  0.7500  0.5000
Ti  0.6206  0.1250  0.2500
Ti  0.1294  0.6250  0.2500
Ti  0.3750  0.3794  0.7500
Ti  0.8750  0.8706  0.7500



Entry from Alexandria: crystalline Ti5Re4Tc at its relaxed geometry (GGA-PBE).

Output
Formation energy from the elements in eV/atom: -0.41

Lattice parameters (Å, degrees): 3.1178 3.1178 15.5149 90.00 90.00 90.00
Positions (direct):
Ti  0.5000  0.5000  0.0994
Ti  0.5000  0.5000  0.2997
Ti  0.5000  0.5000  0.5000
Ti  0.5000  0.5000  0.7003
Ti  0.5000  0.5000  0.9006
Re  0.0000  0.0000  0.1996
Re  0.0000  0.0000  0.3999
Re  0.0000  0.0000  0.6001
Re  0.0000  0.0000  0.8004
Tc  0.0000  0.0000  0.0000



Entry from Alexandria: crystalline Ti2ReTc4 at its relaxed geometry (GGA-PBE).

Output
Formation energy from the elements in eV/atom: 0.13

Lattice parameters (Å, degrees): 5.2720 5.2720 5.2720 108.20 110.11 110.11
Positions (direct):
Ti  0.5000  0.5000  0.0000
Ti  0.5000  0.0000  0.5000
Re  0.0000  0.0000  0.0000
Tc  0.5000  0.0000  0.0000
Tc  0.5000  0.5000  0.5000
Tc  0.0000  0.0000  0.5000
Tc  0.0000  0.5000  0.0000



Entry from Alexandria: crystalline Ti3Re2Tc at its relaxed geometry (GGA-PBE).

Output
Formation energy from the elements in eV/atom: -0.43

Lattice parameters (Å, degrees): 3.1121 3.1121 9.3341 90.00 90.00 90.00
Positions (direct):
Ti  0.0000  0.0000  0.0000
Ti  0.0000  0.0000  0.6657
Ti  0.0000  0.0000  0.3343
Re  0.5000  0.5000  0.8329
Re  0.5000  0.5000  0.1671
Tc  0.5000  0.5000  0.5000